Record 1
# UMn3Si

A relaxed structure of UMn3Si (PBE, the Alexandria database).

crystal system	trigonal
formation energy (no corrections)	269	meV per atom

abc: 4.7772 4.7772 4.7772
angles: 64.03 64.03 64.03
Closest atoms and distances in Å follow each position.
Positions (direct):
1 U 0.8368 0.8368 0.8368  3 Mn 2.63
2 Mn 0.6984 0.1954 0.1954  2 Si 2.37-2.41, 4 Mn 2.52-2.55, 1 U 2.63
3 Mn 0.1954 0.6984 0.1954  2 Si 2.37-2.41, 4 Mn 2.52-2.55, 1 U 2.63
4 Mn 0.1954 0.1954 0.6984  2 Si 2.37-2.41, 4 Mn 2.52-2.55, 1 U 2.63
5 Si 0.1991 0.1991 0.1991  6 Mn 2.37-2.41

***

Record 2
# YThTlIr

A relaxed structure of YThTlIr (PBE, the Alexandria database).

crystal system	monoclinic
electronic total energy	-6.835	eV/atom

abc: 4.0777 4.0784 8.4237
angles: 89.96 103.94 120.08
Closest atoms and distances in Å follow each position.
Positions (direct):
1 Y 0.5061 0.1513 0.6721  3 Ir 2.84
2 Th 0.0949 0.9449 0.0556  3 Ir 2.80
3 Tl 0.9740 0.3853 0.3743  3 Y 3.37, 3 Th 3.49
4 Ir 0.3029 0.5493 0.8677  3 Th 2.80, 3 Y 2.84

***

Record 3
# TbGdAg4

A relaxed structure of TbGdAg4 (PBE, the Alexandria database).

crystal system	cubic
electronic total energy	-5.191	eV/atom

abc: 5.7215 5.7215 5.7215
angles: 60.00 60.00 60.00
Closest atoms and distances in Å follow each position.
Positions (direct):
1 Gd 0.2500 0.2500 0.2500  12 Ag 3.35, 4 Tb 3.50
2 Tb 0.0000 0.0000 0.0000  12 Ag 3.35, 4 Gd 3.50
3 Ag 0.6251 0.6251 0.1248  6 Ag 2.86
4 Ag 0.6251 0.1248 0.6251  6 Ag 2.86
5 Ag 0.6251 0.6251 0.6251  6 Ag 2.86
6 Ag 0.1248 0.6251 0.6251  6 Ag 2.86

***

What did the third record say?
# TbGdAg4

A relaxed structure of TbGdAg4 (PBE, the Alexandria database).

crystal system	cubic
electronic total energy	-5.191	eV/atom

abc: 5.7215 5.7215 5.7215
angles: 60.00 60.00 60.00
Closest atoms and distances in Å follow each position.
Positions (direct):
1 Gd 0.2500 0.2500 0.2500  12 Ag 3.35, 4 Tb 3.50
2 Tb 0.0000 0.0000 0.0000  12 Ag 3.35, 4 Gd 3.50
3 Ag 0.6251 0.6251 0.1248  6 Ag 2.86
4 Ag 0.6251 0.1248 0.6251  6 Ag 2.86
5 Ag 0.6251 0.6251 0.6251  6 Ag 2.86
6 Ag 0.1248 0.6251 0.6251  6 Ag 2.86